[1]
PrSm2P2N6 | PBE | optimized geometry

Calculated values
ΔE_f (raw) ... -0.851 eV/atom

Geometry as POSCAR:
```
PrSm2P2N6
1.0
-2.8318 2.5066 4.4068
1.5305 -5.5915 0.3379
5.3512 1.6170 2.5189
Pr Sm P N
1 2 2 6
direct
0.0000 0.0000 0.0000
0.6667 0.3333 0.6382
0.3333 0.6667 0.3618
0.3333 0.6667 0.8188
0.6667 0.3333 0.1812
0.0725 0.3855 0.7563
0.6145 0.6870 0.7563
0.3130 0.9275 0.7563
0.9275 0.6145 0.2437
0.3855 0.3130 0.2437
0.6870 0.0725 0.2437
```


[2]
NaNbRu | PBE | optimized geometry

Calculated values
Energy above the lowest structure with this stoichiometry ... 0.33 eV/f.u.
E_form ... 0.16 eV/atom

Geometry as POSCAR:
```
NaNbRu
1.0
2.9817 0.0000 -0.0241
0.0000 4.3220 0.0000
-0.8880 0.0000 9.9325
Na Nb Ru
2 2 2
direct
0.2941 0.2500 0.1230
0.7059 0.7500 0.8770
0.6546 0.2500 0.4247
0.3454 0.7500 0.5753
0.0201 0.2500 0.6667
0.9799 0.7500 0.3333
```


[3]
SrCa2ZrCu | PBE | optimized geometry

Calculated values
E_form ... 0.50 eV/atom

Geometry as POSCAR:
```
SrCa2ZrCu
1.0
5.5503 0.0000 0.0000
0.0000 5.7298 0.0000
0.0000 0.0000 5.5503
Sr Ca Cu Zr
1 2 1 1
direct
0.0000 0.5000 0.0000
0.0000 0.0000 0.5000
0.5000 0.0000 0.0000
0.0000 0.0000 0.0000
0.5000 0.5000 0.5000
```


[4]
NaP6Pd | PBE | optimized geometry

Calculated values
E_form ... -0.08 eV/atom

Geometry as POSCAR:
```
NaP6Pd
1.0
7.7720 0.5036 2.4211
-3.4652 4.0787 1.7230
0.9247 0.1996 5.5423
Na P Pd
1 6 1
direct
0.0000 0.0000 0.0000
0.8623 0.4938 0.5062
0.3656 0.9972 0.4852
0.1377 0.5062 0.4938
0.6344 0.4852 0.9972
0.6344 0.0028 0.5148
0.3656 0.5148 0.0028
0.5000 0.0000 0.0000
```


[5]
TbSn2Pd | PBE | optimized geometry

Calculated values
E_form ... -0.16 eV/atom

Geometry as POSCAR:
```
TbSn2Pd
1.0
3.3982 0.0000 0.0000
1.6991 2.9429 0.0000
1.6991 0.9810 10.2984
Tb Sn Pd
1 2 1
direct
0.0000 0.0000 0.0000
0.1016 0.1016 0.6951
0.8984 0.8984 0.3049
0.5000 0.5000 0.5000
```


[6]
Pm2ZnCo3Ge4 | PBE | optimized geometry

Calculated values
E_form ... -0.53 eV/atom

Geometry as POSCAR:
```
Pm2ZnCo3Ge4
1.0
-3.6684 1.6777 -0.9394
0.3277 -1.4484 -3.8664
-4.5401 -8.3841 2.7559
Pm Zn Co Ge
2 1 3 4
direct
0.5000 0.0000 0.2406
0.0000 0.5000 0.7594
0.5000 0.5000 0.5000
0.0000 0.0000 0.5000
0.5000 0.0000 0.8811
0.0000 0.5000 0.1189
0.5000 0.5000 0.0000
0.0000 0.0000 0.0000
0.5000 0.0000 0.6451
0.0000 0.5000 0.3549
```


[7]
InMoPb2 | PBE | optimized geometry

Calculated values
E_form ... 0.48 eV/atom

Geometry as POSCAR:
```
InMoPb2
1.0
-0.4440 -1.1801 -2.8932
-0.8776 -2.2448 2.0374
-10.0605 3.8932 -0.0441
In Mo Pb
1 1 2
direct
0.5000 0.5000 0.2500
0.5000 0.5000 0.7500
0.0000 0.0000 0.9574
0.0000 0.0000 0.5426
```


[8]
BaNaLiPb2 | PBE | optimized geometry

Calculated values
Energy above the lowest structure with this stoichiometry ... 0.00 eV/f.u.
E_form ... -0.28 eV/atom

Geometry as POSCAR:
```
BaNaLiPb2
1.0
-2.1309 4.8364 4.7540
-4.7582 1.3738 -3.5304
-4.0520 -5.1744 3.4477
Ba Na Li Pb
2 2 2 4
direct
0.2506 0.2500 0.5000
0.7494 0.7500 0.5000
0.6245 0.7500 0.0000
0.3755 0.2500 0.0000
0.0000 0.0000 0.0000
0.0000 0.5000 0.0000
0.7658 0.2500 0.7767
0.7658 0.2500 0.2233
0.2342 0.7500 0.7767
0.2342 0.7500 0.2233
```


[9]
ZnCdPb2 | PBE | optimized geometry

Calculated values
Energy above the lowest structure with this stoichiometry ... 0.18 eV/f.u.
E_form ... 0.12 eV/atom

Geometry as POSCAR:
```
ZnCdPb2
1.0
-4.3445 -0.2957 0.4295
-0.0246 -2.7856 -2.1662
0.7914 -6.0546 3.8366
Cd Pb Zn
1 2 1
direct
0.5000 0.7500 0.7500
0.0000 0.0490 0.0132
0.0000 0.4510 0.4868
0.5000 0.2500 0.2500
```


[10]
CsHg6Br12 | PBE | optimized geometry

Calculated values
ΔE_f (raw) ... -0.540 eV/atom

Geometry as POSCAR:
```
CsHg6Br12
1.0
-7.6160 -2.9453 2.1051
1.9933 -4.0389 -9.6991
0.9956 -10.6474 -0.0350
Cs Hg Br
1 6 12
direct
0.0000 0.0000 0.0000
0.3362 0.5476 0.3010
0.2114 0.8486 0.4524
0.3628 0.6990 0.8486
0.6638 0.4524 0.6990
0.7886 0.1514 0.5476
0.6372 0.3010 0.1514
0.4780 0.7682 0.3628
0.7098 0.8689 0.7682
0.8409 0.3628 0.8689
0.5220 0.2318 0.6372
0.2902 0.1311 0.2318
0.1591 0.6372 0.1311
0.3399 0.4459 0.8399
0.8202 0.1601 0.2858
0.1060 0.2858 0.5541
0.6601 0.5541 0.1601
0.1798 0.8399 0.7142
0.8940 0.7142 0.4459
```


[11]
BaSnHg5Bi2 | PBE | optimized geometry

Calculated values
E_form ... 0.01 eV/atom

Geometry as POSCAR:
```
BaSnHg5Bi2
1.0
-2.5466 -4.8340 -2.2053
4.7708 -1.0038 -3.3089
3.5995 -4.9487 6.6911
Ba Sn Hg Bi
1 1 5 2
direct
0.0000 0.0000 0.5000
0.0000 0.0000 0.0000
0.0000 0.5000 0.1818
0.5000 0.0000 0.1818
0.0000 0.5000 0.8182
0.5000 0.0000 0.8182
0.5000 0.5000 0.5000
0.5000 0.5000 0.1957
0.5000 0.5000 0.8043
```


[12]
Na2Mn2Br7 | PBE | optimized geometry

Calculated values
ΔE_f (raw) ... -0.967 eV/atom
Energy above the lowest structure with this stoichiometry ... 0.22 eV/f.u.

Geometry as POSCAR:
```
Na2Mn2Br7
1.0
7.6259 -0.5241 -1.4840
-1.8307 7.4214 -1.4840
0.5038 0.5996 13.5787
Na Mn Br
4 4 14
direct
0.2949 0.6712 0.5189
0.3288 0.7051 0.9811
0.6712 0.2949 0.0189
0.7051 0.3288 0.4811
0.2020 0.2184 0.1969
0.2184 0.2020 0.6969
0.7816 0.7980 0.3031
0.7980 0.7816 0.8031
0.9328 0.5932 0.3731
0.0671 0.3337 0.0596
0.3802 0.3950 0.3617
0.9115 0.0885 0.2500
0.5932 0.9328 0.8731
0.3337 0.0671 0.5596
0.3950 0.3802 0.8617
0.6050 0.6198 0.1383
0.6663 0.9329 0.4404
0.4068 0.0672 0.1269
0.0885 0.9115 0.7500
0.6198 0.6050 0.6383
0.9329 0.6663 0.9404
0.0672 0.4068 0.6269
```